# 1
## SrZn2SiRh2 (PBE-GGA)

Data for a geometry-optimized SrZn2SiRh2 structure.

Unit cell a=4.473 b=4.473 c=5.955 alpha=90.00 beta=90.00 gamma=90.00
Sites, in units of the cell vectors:
Rh 0.000 0.500 0.000
Rh 0.500 0.000 0.000
Sr 0.000 0.000 0.500
Zn 0.500 0.500 0.269
Zn 0.500 0.500 0.731
Si 0.000 0.000 0.000

Summary:
total magnetization: 0.0 μB per formula unit
Fermi-level density of states: 0.9478 states/eV/atom
formation energy from raw total energies: -0.383 eV per atom
VASP energy: -4.4424 eV per atom
symmetry: P4/mmm



# 2
## Pa2MnNi12B3 (PBE-GGA)

Data for a geometry-optimized Pa2MnNi12B3 structure.

Unit cell a=6.647 b=6.647 c=6.647 alpha=64.82 beta=64.82 gamma=64.82
Sites, in units of the cell vectors:
Ni 0.426 0.851 0.851
Ni 0.127 0.724 0.724
Ni 0.574 0.149 0.149
Ni 0.149 0.149 0.574
Ni 0.149 0.574 0.149
Ni 0.724 0.127 0.724
Ni 0.851 0.426 0.851
Ni 0.851 0.851 0.426
Ni 0.724 0.724 0.127
Ni 0.873 0.276 0.276
Ni 0.276 0.873 0.276
Ni 0.276 0.276 0.873
B 0.500 0.000 0.000
B 0.000 0.000 0.500
B 0.000 0.500 0.000
Pa 0.404 0.404 0.404
Pa 0.596 0.596 0.596
Mn 0.000 0.000 0.000

Summary:
total magnetization: 4.6 μB per formula unit
Fermi-level density of states: 0.6475 states/eV/atom
energy of formation from the pure elements: -0.103 eV per atom
VASP energy: -6.6346 eV per atom
symmetry: R-3m



# 3
## CaTa2 (PBE-GGA)

Data for a geometry-optimized CaTa2 structure.

Unit cell a=8.873 b=8.873 c=2.771 alpha=90.00 beta=90.00 gamma=120.00
Sites, in units of the cell vectors:
Ta 0.673 0.673 0.000
Ta 0.000 0.661 0.500
Ta 0.327 0.000 0.000
Ta 0.000 0.327 0.000
Ta 0.339 0.339 0.500
Ta 0.661 0.000 0.500
Ca 0.000 0.000 0.500
Ca 0.333 0.667 0.000
Ca 0.667 0.333 0.000

Summary:
total magnetization: 0.0 μB per formula unit
Fermi-level density of states: 1.0206 states/eV/atom
energy of formation from the pure elements: 0.700 eV per atom
VASP energy: -7.8690 eV per atom
symmetry: P-62m



# 4
## La3Y5Tm4 (PBE-GGA)

Data for a geometry-optimized La3Y5Tm4 structure.

Unit cell a=7.163 b=11.339 c=12.941 alpha=151.27 beta=56.55 gamma=129.10
Sites, in units of the cell vectors:
Y 0.665 0.331 0.165
Y 0.747 0.502 0.002
Y 0.500 0.000 0.500
Y 0.253 0.498 0.998
Y 0.335 0.669 0.835
La 0.000 0.000 0.500
La 0.588 0.171 0.336
La 0.412 0.829 0.664
Tm 0.836 0.669 0.835
Tm 0.081 0.162 0.330
Tm 0.919 0.838 0.670
Tm 0.164 0.331 0.165

Summary:
total magnetization: 0.0 μB per formula unit
Fermi-level density of states: 1.4775 states/eV/atom
energy of formation from the pure elements: 0.031 eV per atom
VASP energy: -5.3850 eV per atom
symmetry: P-1